Entry P
The following is a GGA-PBE calculation of a relaxed structure of Nb3VOs, from Alexandria via LeMat-Bulk.

Values from the calculation:
space-group type	C2/c
M_tot	0.000	Bohr magnetons per cell
calculated volume	342.72	Å³ per cell

abc: 7.7690 7.7690 6.3684
angles: 92.55 92.55 63.23
Closest atoms and distances in Å follow each position.
Fractional coordinates of all 20 atoms:
Nb  0.0566  0.2558  0.0428  3 V 2.70-2.87, 3 Nb 2.72-2.97, 2 Os 2.72-2.86
Nb  0.1802  0.6944  0.5846  1 V 2.54, 1 Nb 2.61, 2 Os 2.70-2.72
Nb  0.2558  0.0566  0.5428  3 V 2.70-2.87, 3 Nb 2.72-2.97, 2 Os 2.72-2.86
Nb  0.3006  0.4004  0.9403  2 Os 2.63-2.74, 3 Nb 2.72-2.88, 2 V 2.80-2.86
Nb  0.3056  0.8198  0.9154  1 V 2.54, 1 Nb 2.61, 2 Os 2.70-2.72
Nb  0.4004  0.3006  0.4403  2 Os 2.63-2.74, 3 Nb 2.72-2.88, 2 V 2.80-2.86
Nb  0.5996  0.6994  0.5597  2 Os 2.63-2.74, 3 Nb 2.72-2.88, 2 V 2.80-2.86
Nb  0.6944  0.1802  0.0846  1 V 2.54, 1 Nb 2.61, 2 Os 2.70-2.72
Nb  0.6994  0.5996  0.0597  2 Os 2.63-2.74, 3 Nb 2.72-2.88, 2 V 2.80-2.86
Nb  0.7442  0.9434  0.4572  3 V 2.70-2.87, 3 Nb 2.72-2.97, 2 Os 2.72-2.86
Nb  0.8198  0.3056  0.4154  1 V 2.54, 1 Nb 2.61, 2 Os 2.70-2.72
Nb  0.9434  0.7442  0.9572  3 V 2.70-2.87, 3 Nb 2.72-2.97, 2 Os 2.72-2.86
V  0.0111  0.5605  0.3242  1 V 2.51, 4 Nb 2.54-2.80
V  0.4395  0.9889  0.1758  1 V 2.51, 4 Nb 2.54-2.80
V  0.5605  0.0111  0.8242  1 V 2.51, 4 Nb 2.54-2.80
V  0.9889  0.4395  0.6758  1 V 2.51, 4 Nb 2.54-2.80
Os  0.0689  0.9311  0.2500  8 Nb 2.72-2.86, 1 Os 2.78
Os  0.4108  0.5892  0.2500  6 Nb 2.63-2.74, 1 Os 2.78
Os  0.5892  0.4108  0.7500  6 Nb 2.63-2.74, 1 Os 2.78
Os  0.9311  0.0689  0.7500  8 Nb 2.72-2.86, 1 Os 2.78

=====

Entry Q
The following is a GGA-PBE calculation of a relaxed structure of Nb3VOs, from Alexandria via LeMat-Bulk.

Values from the calculation:
space-group type	Pm-3m
M_tot	0.000	Bohr magnetons per cell
calculated volume	94.17	Å³ per cell

abc: 4.5495 4.5495 4.5495
angles: 90.00 90.00 90.00
Closest atoms and distances in Å follow each position.
Fractional coordinates of all 5 atoms:
Nb  0.0000  0.0000  0.5000  2 V 2.27
Nb  0.0000  0.5000  0.0000  2 V 2.27
Nb  0.5000  0.0000  0.0000  2 V 2.27
V  0.0000  0.0000  0.0000  6 Nb 2.27
Os  0.5000  0.5000  0.5000  12 Nb 3.22

=====

Need the numbers? Relative energies in meV per atom: entry P 0; entry Q 1066.

=====

Entry P
The following is a GGA-PBE calculation of a relaxed structure of Nb6OsW, from Alexandria via LeMat-Bulk.

Values from the calculation:
space-group type	P-1
M_tot	0.000	Bohr magnetons per cell
calculated volume	141.07	Å³ per cell

abc: 5.2041 5.2049 5.2082
angles: 89.97 89.84 89.93
Closest atoms and distances in Å follow each position.
Fractional coordinates of all 8 atoms:
Nb  0.0004  0.9999  0.2483  2 Nb 2.59-2.62
Nb  0.9996  0.0001  0.7517  2 Nb 2.59-2.62
Nb  0.2517  0.4999  0.0004  2 Nb 2.58-2.62
Nb  0.4998  0.2486  0.5001  2 Nb 2.59-2.62
Nb  0.5002  0.7514  0.4999  2 Nb 2.59-2.62
Nb  0.7483  0.5001  0.9996  2 Nb 2.58-2.62
Os  0.5000  0.0000  0.0000  12 Nb 2.90-2.91
W  0.0000  0.5000  0.5000  12 Nb 2.91-2.92

=====

Entry Q
The following is a GGA-PBE calculation of a relaxed structure of Nb6OsW, from Alexandria via LeMat-Bulk.

Values from the calculation:
space-group type	Cmmm
M_tot	0.000	Bohr magnetons per cell
calculated volume	138.16	Å³ per cell

abc: 5.6488 5.6488 4.5948
angles: 90.00 90.00 109.56
Closest atoms and distances in Å follow each position.
Fractional coordinates of all 8 atoms:
Nb  0.0000  0.5000  0.5000  4 Nb 2.82, 2 W 2.82, 2 Os 2.82
Nb  0.2494  0.7506  0.0000  8 Nb 2.82-2.83
Nb  0.2509  0.2509  0.0000  2 Os 2.81, 2 W 2.82, 4 Nb 2.82-2.83
Nb  0.5000  0.0000  0.5000  4 Nb 2.82, 2 W 2.82, 2 Os 2.82
Nb  0.7491  0.7491  0.0000  2 Os 2.81, 2 W 2.82, 4 Nb 2.82-2.83
Nb  0.7506  0.2494  0.0000  8 Nb 2.82-2.83
Os  0.5000  0.5000  0.5000  8 Nb 2.81-2.82
W  0.0000  0.0000  0.5000  8 Nb 2.82

=====

Need the numbers? Relative energies in meV per atom: entry P 41; entry Q 0.

=====

Entry P
The following is a GGA-PBE calculation of a relaxed structure of NbOs2W, from Alexandria via LeMat-Bulk.

Values from the calculation:
space-group type	Fm-3m
M_tot	0.000	Bohr magnetons per cell
calculated volume	63.37	Å³ per cell

abc: 4.4752 4.4752 4.4752
angles: 60.00 60.00 60.00
Closest atoms and distances in Å follow each position.
Fractional coordinates of all 4 atoms:
Nb  0.0000  0.0000  0.0000  8 Os 2.74
Os  0.2500  0.2500  0.2500  4 Nb 2.74, 4 W 2.74
Os  0.7500  0.7500  0.7500  4 Nb 2.74, 4 W 2.74
W  0.5000  0.5000  0.5000  8 Os 2.74

=====

Entry Q
The following is a GGA-PBE calculation of a relaxed structure of NbOs2W, from Alexandria via LeMat-Bulk.

Values from the calculation:
space-group type	P4/mmm
M_tot	0.000	Bohr magnetons per cell
calculated volume	62.86	Å³ per cell

abc: 4.0145 4.0145 3.9005
angles: 90.00 90.00 90.00
Closest atoms and distances in Å follow each position.
Fractional coordinates of all 4 atoms:
Nb  0.0000  0.0000  0.0000  8 Os 2.80, 4 W 2.84
Os  0.0000  0.5000  0.5000  4 Nb 2.80, 4 W 2.80, 4 Os 2.84
Os  0.5000  0.0000  0.5000  4 Nb 2.80, 4 W 2.80, 4 Os 2.84
W  0.5000  0.5000  0.0000  8 Os 2.80, 4 Nb 2.84

=====

Entry R
The following is a GGA-PBE calculation of a relaxed structure of NbOs2W, from Alexandria via LeMat-Bulk.

Values from the calculation:
space-group type	I-42d
M_tot	0.000	Bohr magnetons per cell
calculated volume	189.94	Å³ per cell

abc: 7.0000 7.0000 7.0000
angles: 131.22 131.22 71.47
Closest atoms and distances in Å follow each position.
Fractional coordinates of all 8 atoms:
Nb  0.0000  0.0000  0.0000  4 Os 2.53
Nb  0.7500  0.2500  0.5000  4 Os 2.53
Os  0.1363  0.6250  0.0113  2 W 2.45, 2 Nb 2.53
Os  0.3750  0.3863  0.5113  2 W 2.45, 2 Nb 2.53
Os  0.6137  0.1250  0.9887  2 W 2.45, 2 Nb 2.53
Os  0.8750  0.8637  0.4887  2 W 2.45, 2 Nb 2.53
W  0.2500  0.7500  0.5000  4 Os 2.45
W  0.5000  0.5000  0.0000  4 Os 2.45

=====

Need the numbers? Relative energies in meV per atom: entry P 161; entry Q 0; entry R 1395.

=====

Entry P
The following is a GGA-PBE calculation of a relaxed structure of Nb6OsW2, from Alexandria via LeMat-Bulk.

Values from the calculation:
space-group type	P-3m1
M_tot	0.000	Bohr magnetons per cell
calculated volume	154.19	Å³ per cell

abc: 4.5822 4.5822 8.4799
angles: 90.00 90.00 120.00
Closest atoms and distances in Å follow each position.
Fractional coordinates of all 9 atoms:
Nb  0.0000  0.0000  0.1697  4 Nb 2.79-2.88, 1 Os 2.80, 3 W 2.83
Nb  0.0000  0.0000  0.8303  4 Nb 2.79-2.88, 1 Os 2.80, 3 W 2.83
Nb  0.3333  0.6667  0.2753  1 W 2.77, 7 Nb 2.79-2.82
Nb  0.3333  0.6667  0.6081  3 Os 2.80, 4 Nb 2.82, 1 W 2.89
Nb  0.6667  0.3333  0.3919  3 Os 2.80, 4 Nb 2.82, 1 W 2.89
Nb  0.6667  0.3333  0.7247  1 W 2.77, 7 Nb 2.79-2.82
Os  0.0000  0.0000  0.5000  8 Nb 2.80
W  0.3333  0.6667  0.9490  5 Nb 2.77-2.89, 3 W 2.78
W  0.6667  0.3333  0.0510  5 Nb 2.77-2.89, 3 W 2.78

=====

Entry Q
The following is a GGA-PBE calculation of a relaxed structure of Nb6OsW2, from Alexandria via LeMat-Bulk.

Values from the calculation:
space-group type	C2/m
M_tot	0.000	Bohr magnetons per cell
calculated volume	183.74	Å³ per cell

abc: 7.6767 7.6767 4.3865
angles: 106.54 106.54 48.43
Closest atoms and distances in Å follow each position.
Fractional coordinates of all 9 atoms:
Nb  0.0821  0.5861  0.3339  1 Os 2.70, 3 W 2.71-2.73
Nb  0.2489  0.7511  0.0000  2 Os 2.70, 2 W 2.71
Nb  0.4139  0.9179  0.6661  1 Os 2.70, 3 W 2.71-2.73
Nb  0.5861  0.0821  0.3339  1 Os 2.70, 3 W 2.71-2.73
Nb  0.7511  0.2489  0.0000  2 Os 2.70, 2 W 2.71
Nb  0.9179  0.4139  0.6661  1 Os 2.70, 3 W 2.71-2.73
Os  0.0000  0.0000  0.5000  8 Nb 2.70
W  0.3344  0.3344  0.8343  8 Nb 2.71-2.73
W  0.6656  0.6656  0.1657  8 Nb 2.71-2.73

=====

Need the numbers? Relative energies in meV per atom: entry P 0; entry Q 686.

=====

Entry P
The following is a GGA-PBE calculation of a relaxed structure of Nb4OsW, from Alexandria via LeMat-Bulk.

Values from the calculation:
space-group type	P4/mmm
M_tot	0.000	Bohr magnetons per cell
calculated volume	121.73	Å³ per cell

abc: 4.3933 4.3933 6.3069
angles: 90.00 90.00 90.00
Closest atoms and distances in Å follow each position.
Fractional coordinates of all 6 atoms:
Nb  0.0000  0.5000  0.2479  2 Os 2.70, 2 W 2.71
Nb  0.0000  0.5000  0.7521  2 Os 2.70, 2 W 2.71
Nb  0.5000  0.0000  0.2479  2 Os 2.70, 2 W 2.71
Nb  0.5000  0.0000  0.7521  2 Os 2.70, 2 W 2.71
Os  0.0000  0.0000  0.0000  8 Nb 2.70
W  0.5000  0.5000  0.5000  8 Nb 2.71

=====

Entry Q
The following is a GGA-PBE calculation of a relaxed structure of Nb4OsW, from Alexandria via LeMat-Bulk.

Values from the calculation:
space-group type	P2/m
M_tot	0.000	Bohr magnetons per cell
calculated volume	204.97	Å³ per cell

abc: 7.2704 3.2376 9.1837
angles: 90.00 108.53 90.00
Closest atoms and distances in Å follow each position.
Fractional coordinates of all 12 atoms:
Nb  0.0000  0.0000  0.0000  8 Nb 2.80-2.84
Nb  0.0000  0.0000  0.5000  8 Nb 2.82-2.84
Nb  0.0002  0.5000  0.2487  4 Nb 2.80-2.82, 2 Os 2.82, 2 W 2.82
Nb  0.9998  0.5000  0.7513  4 Nb 2.80-2.82, 2 Os 2.82, 2 W 2.82
Nb  0.3377  0.5000  0.5854  4 W 2.78-2.82, 2 Os 2.81, 2 Nb 2.84
Nb  0.3391  0.5000  0.0842  4 Os 2.77-2.80, 2 W 2.81, 2 Nb 2.84
Nb  0.6609  0.5000  0.9158  4 Os 2.77-2.80, 2 W 2.81, 2 Nb 2.84
Nb  0.6623  0.5000  0.4146  4 W 2.78-2.82, 2 Os 2.81, 2 Nb 2.84
Os  0.3342  0.0000  0.8347  8 Nb 2.77-2.82
Os  0.6658  0.0000  0.1653  8 Nb 2.77-2.82
W  0.3353  0.0000  0.3329  8 Nb 2.78-2.82
W  0.6647  0.0000  0.6671  8 Nb 2.78-2.82

=====

Need the numbers? Relative energies in meV per atom: entry P 585; entry Q 0.

=====

Entry P
The following is a GGA-PBE calculation of a relaxed structure of YNb2Os, from Alexandria via LeMat-Bulk.

Values from the calculation:
space-group type	I-42d
M_tot	0.000	Bohr magnetons per cell
calculated volume	173.82	Å³ per cell

abc: 6.2043 6.2043 6.2043
angles: 102.40 102.40 124.78
Closest atoms and distances in Å follow each position.
Fractional coordinates of all 8 atoms:
Y  0.0000  0.0000  0.0000  2 Os 2.88, 4 Nb 3.17
Y  0.7500  0.2500  0.5000  2 Os 2.88, 4 Nb 3.17
Nb  0.1831  0.1250  0.5581  2 Os 2.55
Nb  0.3750  0.8169  0.9419  2 Os 2.55
Nb  0.5669  0.6250  0.4419  2 Os 2.55
Nb  0.8750  0.4331  0.0581  2 Os 2.55
Os  0.2500  0.7500  0.5000  4 Nb 2.55
Os  0.5000  0.5000  0.0000  4 Nb 2.55

=====

Entry Q
The following is a GGA-PBE calculation of a relaxed structure of YNb2Os, from Alexandria via LeMat-Bulk.

Values from the calculation:
space-group type	Fm-3m
M_tot	0.000	Bohr magnetons per cell
calculated volume	73.49	Å³ per cell

abc: 4.7017 4.7017 4.7017
angles: 60.00 60.00 60.00
Closest atoms and distances in Å follow each position.
Fractional coordinates of all 4 atoms:
Y  0.0000  0.0000  0.0000  8 Nb 2.88
Nb  0.2500  0.2500  0.2500  4 Os 2.88, 4 Y 2.88
Nb  0.7500  0.7500  0.7500  4 Y 2.88, 4 Os 2.88
Os  0.5000  0.5000  0.5000  8 Nb 2.88

=====

Need the numbers? Relative energies in meV per atom: entry P 218; entry Q 0.